# 1
A plane-wave DFT calculation with PBE was carried out for LaTmGa2Pd5 after structural relaxation.

Lattice parameters (Å, degrees): 4.2646 4.2646 9.2676 90.00 90.00 90.00
Last column: nearest neighbours and their distance in Å.
Fractional coordinates of all 9 atoms:
Pd  0.5000  0.0000  0.2689  2 Ga 2.48
Pd  0.0000  0.5000  0.2689  2 Ga 2.48
Pd  0.0000  0.5000  0.7311  2 Ga 2.48
Pd  0.5000  0.5000  0.5000  4 La 3.02, 8 Pd 3.02
Pd  0.5000  0.0000  0.7311  2 Ga 2.48
Ga  0.5000  0.5000  0.1316  1 Ga 2.44, 4 Pd 2.48
Ga  0.5000  0.5000  0.8684  1 Ga 2.44, 4 Pd 2.48
Tm  0.0000  0.0000  0.0000  8 Ga 3.25, 8 Pd 3.28
La  0.0000  0.0000  0.5000  12 Pd 3.02

Properties
E   -5.37 eV per atom
Crystal system   tetragonal
Formation enthalpy at 0 K   -6.93 eV per formula unit

=====

# 2
A plane-wave DFT calculation with PBE was carried out for SmGdBeHg after structural relaxation.

Lattice parameters (Å, degrees): 5.1731 5.1731 5.1731 60.00 60.00 60.00
Last column: nearest neighbours and their distance in Å.
Fractional coordinates of all 4 atoms:
Be  0.0000  0.0000  0.0000  4 Gd 3.17, 4 Sm 3.17
Sm  0.7500  0.7500  0.7500  4 Be 3.17, 4 Hg 3.17
Hg  0.5000  0.5000  0.5000  4 Sm 3.17, 4 Gd 3.17
Gd  0.2500  0.2500  0.2500  4 Hg 3.17, 4 Be 3.17

Properties
E   -5.81 eV per atom
Crystal system   cubic
Formation enthalpy at 0 K   -0.42 eV per formula unit

=====

# 3
A plane-wave DFT calculation with PBE was carried out for BaPd4Pb after structural relaxation.

Lattice parameters (Å, degrees): 5.6157 5.6157 5.6157 60.00 60.00 60.00
Last column: nearest neighbours and their distance in Å.
Fractional coordinates of all 6 atoms:
Pb  0.0000  0.0000  0.0000  12 Pd 3.29, 4 Ba 3.44
Pd  0.6260  0.6260  0.1220  6 Pd 2.79-2.83
Pd  0.6260  0.1220  0.6260  6 Pd 2.79-2.83
Pd  0.1220  0.6260  0.6260  6 Pd 2.79-2.83
Pd  0.6260  0.6260  0.6260  6 Pd 2.79-2.83
Ba  0.2500  0.2500  0.2500  12 Pd 3.29, 4 Pb 3.44

Properties
E   -4.77 eV per atom
Crystal system   cubic
Formation enthalpy at 0 K   -2.20 eV per formula unit
E above lowest polymorph   0.00 kJ per mole of atoms

=====

# 4
A plane-wave DFT calculation with PBE was carried out for Li2LaAu3 after structural relaxation.

Lattice parameters (Å, degrees): 4.5475 4.5475 13.5440 90.00 90.00 120.00
Last column: nearest neighbours and their distance in Å.
Fractional coordinates of all 12 atoms:
Li  0.3333  0.6667  0.5669  7 Au 2.60-2.78
Li  0.6667  0.3333  0.0669  7 Au 2.60-2.78
Li  0.6667  0.3333  0.4331  7 Au 2.60-2.78
Li  0.3333  0.6667  0.9331  7 Au 2.60-2.78
Au  0.3333  0.6667  0.1247  4 Li 2.60-2.74
Au  0.3333  0.6667  0.3753  4 Li 2.60-2.74
Au  0.6667  0.3333  0.8753  4 Li 2.60-2.74
Au  0.0000  0.0000  0.0000  6 Li 2.78
Au  0.6667  0.3333  0.6247  4 Li 2.60-2.74
Au  0.0000  0.0000  0.5000  6 Li 2.78
La  0.0000  0.0000  0.7500  8 Au 3.13-3.39
La  0.0000  0.0000  0.2500  8 Au 3.13-3.39

Properties
E   -3.75 eV per atom
Crystal system   hexagonal
Formation enthalpy at 0 K   -3.89 eV per formula unit

=====

# 5
A plane-wave DFT calculation with PBE was carried out for Tb6Co2Ge after structural relaxation.

Lattice parameters (Å, degrees): 8.3029 8.3029 8.3029 107.16 109.57 111.71
Last column: nearest neighbours and their distance in Å.
Fractional coordinates of all 18 atoms:
Tb  0.8034  0.7619  0.5653  1 Co 2.72, 1 Ge 3.01
Tb  0.8034  0.2381  0.0414  1 Co 2.72, 1 Ge 3.01
Tb  0.5409  0.7208  0.8201  3 Co 2.91-3.02, 1 Ge 3.12
Tb  0.9007  0.7208  0.1799  3 Co 2.91-3.02, 1 Ge 3.12
Tb  0.3140  0.9873  0.6733  3 Co 2.72-2.88
Tb  0.1966  0.2381  0.4347  1 Co 2.72, 1 Ge 3.01
Tb  0.4591  0.2792  0.1799  3 Co 2.91-3.02, 1 Ge 3.12
Tb  0.0993  0.2792  0.8201  3 Co 2.91-3.02, 1 Ge 3.12
Tb  0.6860  0.0127  0.3267  3 Co 2.72-2.88
Tb  0.1966  0.7619  0.9586  1 Co 2.72, 1 Ge 3.01
Tb  0.3140  0.6407  0.3267  3 Co 2.72-2.88
Tb  0.6860  0.3593  0.6733  3 Co 2.72-2.88
Ge  0.0000  0.0000  0.0000  8 Tb 3.01-3.12, 2 Co 3.26
Ge  0.0000  0.5000  0.5000  8 Tb 3.20-3.39
Co  0.6598  0.0000  0.6598  8 Tb 2.72-3.02
Co  0.5000  0.6136  0.1136  1 Co 2.24
Co  0.3402  0.0000  0.3402  8 Tb 2.72-3.02
Co  0.5000  0.3864  0.8864  1 Co 2.24

Properties
E   -5.50 eV per atom
Crystal system   orthorhombic
Formation enthalpy at 0 K   -2.86 eV per formula unit